Record 1
A plane-wave DFT calculation with PBE was carried out for a relaxed MnBeTc2 crystal.

Properties
magnetic moment	2.27	μB per formula unit
DFT total energy	-8.32	eV per atom

a b c (Å): 2.599 2.599 7.755
angles (deg): 90.00 90.00 105.53
Positions (direct):
1 Be 0.500 0.500 0.250
2 Mn 0.500 0.500 0.750
3 Tc 0.000 0.000 0.014
4 Tc 0.000 0.000 0.486



Record 2
A plane-wave DFT calculation with PBE was carried out for a relaxed MnBe2Tc crystal.

Properties
magnetic moment	0.50	μB per formula unit
DFT total energy	-6.84	eV per atom

a b c (Å): 4.377 4.377 3.783
angles (deg): 63.91 63.91 40.53
Positions (direct):
1 Be 0.017 0.017 0.986
2 Be 0.734 0.734 0.763
3 Mn 0.491 0.491 0.511
4 Tc 0.257 0.257 0.240



Record 3
A plane-wave DFT calculation with PBE was carried out for a relaxed MnBeV2Tc crystal.

Properties
magnetic moment	1.87	μB per formula unit
DFT total energy	-6.87	eV per atom

a b c (Å): 4.447 4.447 4.153
angles (deg): 90.00 90.00 90.00
Positions (direct):
1 Be 0.000 0.000 0.500
2 Mn 0.500 0.500 0.500
3 Tc 0.000 0.000 0.000
4 V 0.000 0.500 0.000
5 V 0.500 0.000 0.000



Record 4
A plane-wave DFT calculation with PBE was carried out for a relaxed MnBeTcW crystal.

Properties
magnetic moment	1.93	μB per formula unit
DFT total energy	-9.04	eV per atom

a b c (Å): 4.193 4.193 4.193
angles (deg): 60.00 60.00 60.00
Positions (direct):
1 Be 0.500 0.500 0.500
2 Mn 0.750 0.750 0.750
3 Tc 0.250 0.250 0.250
4 W 0.000 0.000 0.000



Record 5
A plane-wave DFT calculation with PBE was carried out for a relaxed MnBeTe3 crystal.

Properties
magnetic moment	0.17	μB per formula unit
E_form (uncorrected)	5.32	eV per formula unit

a b c (Å): 4.914 4.914 4.914
angles (deg): 90.00 90.00 90.00
Positions (direct):
1 Be 0.000 0.000 0.000
2 Te 0.000 0.500 0.000
3 Te 0.000 0.000 0.500
4 Te 0.500 0.000 0.000
5 Mn 0.500 0.500 0.500



Record 6
A plane-wave DFT calculation with PBE was carried out for a relaxed MnBeTe3 crystal.

Properties
magnetic moment	0.00	μB per formula unit
E_form (uncorrected)	4.62	eV per formula unit

a b c (Å): 5.040 5.040 5.040
angles (deg): 90.00 90.00 90.00
Positions (direct):
1 Be 0.500 0.500 0.500
2 Te 0.000 0.500 0.000
3 Te 0.000 0.000 0.500
4 Te 0.500 0.000 0.000
5 Mn 0.000 0.000 0.000